i) This record from Alexandria via LeMat-Bulk describes a relaxed structure of YRh2Br. The functional is PBEsol.

Output
Space group   R-3m, No. 166
N(E_F)   4.78 states/eV/cell
Crystal system   trigonal

a b c (Å): 3.3126 3.3126 8.1744
angles (deg): 78.29 78.29 60.03
Atoms (fractional coordinates):
Rh: 0.2505 0.2505 0.2478
Rh: 0.7493 0.7493 0.7522
Y: 0.5000 0.5000 0.5000
Br: 0.0000 0.0000 0.0000



ii) This record from Alexandria via LeMat-Bulk describes a relaxed structure of YRh2Br. The functional is PBEsol.

Output
Space group   Pmmm, No. 47
N(E_F)   4.88 states/eV/cell
Crystal system   orthorhombic

a b c (Å): 3.2133 3.9190 5.6672
angles (deg): 90.00 90.00 90.00
Atoms (fractional coordinates):
Rh: 0.0000 0.0000 0.2518
Rh: 0.0000 0.0000 0.7482
Y: 0.5000 0.5000 0.0000
Br: 0.5000 0.5000 0.5000



From most stable to least stable, the computed energies give ii), i).



i) This record from Alexandria via LeMat-Bulk describes a relaxed structure of ZrRh2Br. The functional is PBEsol.

Output
Space group   R-3m, No. 166
N(E_F)   4.27 states/eV/cell
Crystal system   trigonal

a b c (Å): 3.2407 3.2407 8.1454
angles (deg): 78.53 78.53 60.00
Atoms (fractional coordinates):
Rh: 0.2446 0.2446 0.2662
Rh: 0.7554 0.7554 0.7338
Br: 0.0000 0.0000 0.0000
Zr: 0.5000 0.5000 0.5000



ii) This record from Alexandria via LeMat-Bulk describes a relaxed structure of ZrRh2Br. The functional is PBEsol.

Output
Space group   C2/m, No. 12
N(E_F)   1.94 states/eV/cell
Crystal system   monoclinic

a b c (Å): 3.2684 4.8014 4.6607
angles (deg): 99.66 90.00 109.90
Atoms (fractional coordinates):
Zr: 0.0000 0.0000 0.5000
Rh: 0.7304 0.4608 0.7252
Rh: 0.2696 0.5392 0.2748
Br: 0.5000 0.0000 0.0000



From most stable to least stable, the computed energies give ii), i).



i) This record from Alexandria via LeMat-Bulk describes a relaxed structure of ZrRh2Br. The functional is PBEsol.

Output
Space group   I-4m2, No. 119
N(E_F)   3.66 states/eV/cell
Crystal system   tetragonal

a b c (Å): 3.8921 3.8921 5.1317
angles (deg): 112.29 112.29 90.00
Atoms (fractional coordinates):
Rh: 0.7500 0.2500 0.5000
Rh: 0.0000 0.0000 0.0000
Br: 0.2500 0.7500 0.5000
Zr: 0.5000 0.5000 0.0000



ii) This record from Alexandria via LeMat-Bulk describes a relaxed structure of ZrRh2Br. The functional is PBEsol.

Output
Space group   P4/mmm, No. 123
N(E_F)   5.15 states/eV/cell
Crystal system   tetragonal

a b c (Å): 3.3216 3.3216 6.2636
angles (deg): 90.00 90.00 90.00
Atoms (fractional coordinates):
Br: 0.5000 0.5000 0.5000
Zr: 0.5000 0.5000 0.0000
Rh: 0.0000 0.0000 0.7775
Rh: 0.0000 0.0000 0.2225



From most stable to least stable, the computed energies give ii), i).



i) This record from Alexandria via LeMat-Bulk describes a relaxed structure of Ru3Br. The functional is PBEsol.

Output
Space group   C2/m, No. 12
N(E_F)   3.58 states/eV/cell
Crystal system   monoclinic

a b c (Å): 2.8372 4.3633 4.9710
angles (deg): 92.27 106.58 90.00
Atoms (fractional coordinates):
Ru: 0.7779 0.2705 0.5557
Ru: 0.5000 0.5000 0.0000
Ru: 0.2221 0.7295 0.4443
Br: 0.0000 0.0000 0.0000



ii) This record from Alexandria via LeMat-Bulk describes a relaxed structure of Ru3Br. The functional is PBEsol.

Output
Space group   P4/mmm, No. 123
N(E_F)   6.18 states/eV/cell
Crystal system   tetragonal

a b c (Å): 2.8153 4.5348 4.5348
angles (deg): 90.00 90.00 90.00
Atoms (fractional coordinates):
Ru: 0.5000 0.5000 0.0000
Ru: 0.5000 0.0000 0.5000
Ru: 0.0000 0.5000 0.5000
Br: 0.0000 0.0000 0.0000



From most stable to least stable, the computed energies give i), ii).



i) This record from Alexandria via LeMat-Bulk describes a relaxed structure of Ru2Br. The functional is PBEsol.

Output
Space group   Immm, No. 71
N(E_F)   2.76 states/eV/cell
Crystal system   orthorhombic

a b c (Å): 2.8920 2.9057 6.2059
angles (deg): 103.54 103.47 90.00
Atoms (fractional coordinates):
Ru: 0.1860 0.1860 0.3720
Ru: 0.8140 0.8140 0.6280
Br: 0.5000 0.0000 0.0000



ii) This record from Alexandria via LeMat-Bulk describes a relaxed structure of Ru2Br. The functional is PBEsol.

Output
Space group   I4/mcm, No. 140
N(E_F)   9.41 states/eV/cell
Crystal system   tetragonal

a b c (Å): 4.9412 5.4528 4.9412
angles (deg): 63.06 90.00 116.94
Atoms (fractional coordinates):
Br: 0.2500 0.5000 0.7500
Br: 0.7500 0.5000 0.2500
Ru: 0.1768 0.0000 0.6768
Ru: 0.6768 0.0000 0.8232
Ru: 0.8232 0.0000 0.3232
Ru: 0.3232 0.0000 0.1768



From most stable to least stable, the computed energies give i), ii).



i) This record from Alexandria via LeMat-Bulk describes a relaxed structure of Sb2RuBr. The functional is PBEsol.

Output
Space group   I-42d, No. 122
N(E_F)   4.61 states/eV/cell
Crystal system   tetragonal

a b c (Å): 6.3327 6.3327 7.7761
angles (deg): 114.03 114.03 90.00
Atoms (fractional coordinates):
Sb: 0.1250 0.0306 0.7500
Sb: 0.9694 0.3750 0.2500
Sb: 0.2806 0.8750 0.2500
Sb: 0.6250 0.7194 0.7500
Ru: 0.0000 0.0000 0.0000
Ru: 0.2500 0.7500 0.5000
Br: 0.5000 0.5000 0.0000
Br: 0.7500 0.2500 0.5000



ii) This record from Alexandria via LeMat-Bulk describes a relaxed structure of Sb2RuBr. The functional is PBEsol.

Output
Space group   Immm, No. 71
N(E_F)   2.14 states/eV/cell
Crystal system   orthorhombic

a b c (Å): 3.1555 4.6706 6.6040
angles (deg): 110.71 103.82 90.00
Atoms (fractional coordinates):
Sb: 0.1842 0.1842 0.3685
Sb: 0.8158 0.8158 0.6315
Ru: 0.5000 0.0000 0.0000
Br: 0.0000 0.5000 0.0000



iii) This record from Alexandria via LeMat-Bulk describes a relaxed structure of Sb2RuBr. The functional is PBEsol.

Output
Space group   I4/mmm, No. 139
N(E_F)   2.68 states/eV/cell
Crystal system   tetragonal

a b c (Å): 4.5990 5.0491 4.5990
angles (deg): 62.91 90.00 117.09
Atoms (fractional coordinates):
Sb: 0.7500 0.5000 0.7500
Sb: 0.2500 0.5000 0.2500
Ru: 0.0000 0.0000 0.0000
Br: 0.5000 0.0000 0.5000



iv) This record from Alexandria via LeMat-Bulk describes a relaxed structure of Sb2RuBr. The functional is PBEsol.

Output
Space group   P4/mmm, No. 123
N(E_F)   3.40 states/eV/cell
Crystal system   tetragonal

a b c (Å): 4.1258 4.1258 4.9926
angles (deg): 90.00 90.00 90.00
Atoms (fractional coordinates):
Sb: 0.0000 0.5000 0.0000
Sb: 0.5000 0.0000 0.0000
Br: 0.5000 0.5000 0.5000
Ru: 0.0000 0.0000 0.5000



From most stable to least stable, the computed energies give ii), i), iii), iv).



i) This record from Alexandria via LeMat-Bulk describes a relaxed structure of SbRu2Br. The functional is PBEsol.

Output
Space group   Cmmm, No. 65
N(E_F)   5.89 states/eV/cell
Crystal system   orthorhombic

a b c (Å): 3.1360 4.5744 4.5744
angles (deg): 89.91 90.00 90.00
Atoms (fractional coordinates):
Ru: 0.0000 0.5000 0.0000
Ru: 0.0000 0.0000 0.5000
Sb: 0.5000 0.0000 0.0000
Br: 0.5000 0.5000 0.5000



ii) This record from Alexandria via LeMat-Bulk describes a relaxed structure of SbRu2Br. The functional is PBEsol.

Output
Space group   Pmm2, No. 25
N(E_F)   3.58 states/eV/cell
Crystal system   orthorhombic

a b c (Å): 3.0765 3.9153 5.6640
angles (deg): 90.00 90.00 90.00
Atoms (fractional coordinates):
Ru: 0.5000 0.5000 0.2591
Ru: 0.0000 0.0000 0.9581
Br: 0.5000 0.5000 0.8391
Sb: 0.0000 0.0000 0.4437



From most stable to least stable, the computed energies give ii), i).



i) This record from Alexandria via LeMat-Bulk describes a relaxed structure of SbRu2Br. The functional is PBEsol.

Output
Space group   C2/m, No. 12
N(E_F)   3.14 states/eV/cell
Crystal system   monoclinic

a b c (Å): 3.0870 4.3224 6.8071
angles (deg): 87.91 76.89 69.08
Atoms (fractional coordinates):
Ru: 0.3109 0.5533 0.8248
Ru: 0.6891 0.4467 0.1752
Sb: 0.5000 0.0000 0.0000
Br: 0.0000 0.5000 0.5000



ii) This record from Alexandria via LeMat-Bulk describes a relaxed structure of SbRu2Br. The functional is PBEsol.

Output
Space group   Imm2, No. 44
N(E_F)   3.49 states/eV/cell
Crystal system   orthorhombic

a b c (Å): 2.9902 4.0583 6.3126
angles (deg): 108.75 103.70 90.00
Atoms (fractional coordinates):
Ru: 0.9451 0.9451 0.8902
Ru: 0.2390 0.7390 0.4780
Br: 0.7758 0.2758 0.5515
Sb: 0.5401 0.5401 0.0803



From most stable to least stable, the computed energies give i), ii).